1.
VASP calculation (PBE) on crystalline Hf2FeGeN at its relaxed geometry.

a b c (Å): 3.5469 3.5469 11.4197
angles (deg): 90.00 90.00 90.00
Closest atoms and distances in Å follow each position.
Sites, in units of the cell vectors:
Hf  0.2500  0.2500  0.0960  1 N 2.13
Hf  0.2500  0.2500  0.7221  1 N 2.14
Hf  0.7500  0.7500  0.2779  1 N 2.14
Hf  0.7500  0.7500  0.9040  1 N 2.13
Fe  0.2500  0.7500  0.5000  4 Ge 2.46, 4 Fe 2.51
Fe  0.7500  0.2500  0.5000  4 Ge 2.46, 4 Fe 2.51
Ge  0.2500  0.2500  0.3503  4 Fe 2.46, 4 Hf 2.64
Ge  0.7500  0.7500  0.6497  4 Fe 2.46, 4 Hf 2.64
N  0.2500  0.2500  0.9094  2 Hf 2.13-2.14
N  0.7500  0.7500  0.0906  2 Hf 2.13-2.14

## Properties
- SG = No. 129
- crystal system = tetragonal
- total moment (μB per formula unit) = 1.9
- volume (Å³/f.u.) = 72
- density (g/cm³) = 11.55
- formation energy from raw total energies (meV per atom) = -850

2.
VASP calculation (PBE) on crystalline Er2TmMgRh4 at its relaxed geometry.

a b c (Å): 8.1526 8.1526 8.1526
angles (deg): 33.52 33.52 33.52
Closest atoms and distances in Å follow each position.
Sites, in units of the cell vectors:
Er  0.2452  0.2452  0.2452  8 Rh 2.79-3.01
Er  0.7548  0.7548  0.7548  8 Rh 2.79-3.01
Tm  0.0000  0.0000  0.0000  8 Rh 2.87-2.88
Mg  0.5000  0.5000  0.5000  8 Rh 2.87-2.88
Rh  0.1244  0.1244  0.1244  4 Er 2.79-2.84, 1 Tm 2.87, 3 Mg 2.88
Rh  0.3756  0.3756  0.3756  1 Mg 2.87, 3 Tm 2.88, 4 Er 2.91-3.01
Rh  0.6244  0.6244  0.6244  1 Mg 2.87, 3 Tm 2.88, 4 Er 2.91-3.01
Rh  0.8756  0.8756  0.8756  4 Er 2.79-2.84, 1 Tm 2.87, 3 Mg 2.88

## Properties
- SG = No. 166
- crystal system = trigonal
- total moment (μB per formula unit) = 0.0
- ΔH_f (0 K) (eV/atom) = -0.871
- volume (Å³/f.u.) = 147
- density (g/cm³) = 10.60

3.
VASP calculation (PBE) on crystalline SmAl2Au4 at its relaxed geometry.

a b c (Å): 17.7450 4.5327 6.7584
angles (deg): 90.00 90.00 90.00
Closest atoms and distances in Å follow each position.
Sites, in units of the cell vectors:
Sm  0.1372  0.2500  0.0128  9 Au 3.12-3.48, 4 Al 3.27-3.43
Sm  0.3628  0.7500  0.5128  9 Au 3.12-3.48, 4 Al 3.27-3.43
Sm  0.6372  0.2500  0.4872  9 Au 3.12-3.48, 4 Al 3.27-3.43
Sm  0.8628  0.7500  0.9872  9 Au 3.12-3.48, 4 Al 3.27-3.43
Al  0.0368  0.7500  0.2425  5 Au 2.59-2.83
Al  0.2178  0.2500  0.5326  7 Au 2.52-2.79
Al  0.2822  0.7500  0.0326  7 Au 2.52-2.79
Al  0.4632  0.2500  0.7425  5 Au 2.59-2.83
Al  0.5368  0.7500  0.2575  5 Au 2.59-2.83
Al  0.7178  0.2500  0.9674  7 Au 2.52-2.79
Al  0.7822  0.7500  0.4674  7 Au 2.52-2.79
Al  0.9632  0.2500  0.7575  5 Au 2.59-2.83
Au  0.0357  0.7500  0.8244  3 Al 2.65-2.83, 2 Au 2.91-2.93
Au  0.0738  0.2500  0.4995  2 Al 2.57-2.63
Au  0.1805  0.7500  0.3138  4 Al 2.59-2.79, 1 Au 2.86
Au  0.1962  0.7500  0.7351  3 Al 2.52-2.67
Au  0.3038  0.2500  0.2351  3 Al 2.52-2.67
Au  0.3195  0.2500  0.8138  4 Al 2.59-2.79, 1 Au 2.86
Au  0.4262  0.7500  0.9995  2 Al 2.57-2.63
Au  0.4643  0.2500  0.3244  3 Al 2.65-2.83, 2 Au 2.91-2.93
Au  0.5357  0.7500  0.6756  3 Al 2.65-2.83, 2 Au 2.91-2.93
Au  0.5738  0.2500  0.0005  2 Al 2.57-2.63
Au  0.6805  0.7500  0.1862  4 Al 2.59-2.79, 1 Au 2.86
Au  0.6962  0.7500  0.7649  3 Al 2.52-2.67
Au  0.8038  0.2500  0.2649  3 Al 2.52-2.67
Au  0.8195  0.2500  0.6862  4 Al 2.59-2.79, 1 Au 2.86
Au  0.9262  0.7500  0.5005  2 Al 2.57-2.63
Au  0.9643  0.2500  0.1756  3 Al 2.65-2.83, 2 Au 2.91-2.93

## Properties
- SG = No. 62
- crystal system = orthorhombic
- total moment (μB per formula unit) = 0.0
- ΔH_f (0 K) (eV/atom) = -0.594
- volume (Å³/f.u.) = 136
- density (g/cm³) = 12.12

4.
VASP calculation (PBE) on crystalline ThAs2Se6 at its relaxed geometry.

a b c (Å): 8.8122 8.8122 8.8122
angles (deg): 46.92 46.92 46.92
Closest atoms and distances in Å follow each position.
Sites, in units of the cell vectors:
Th  0.0000  0.0000  0.0000  6 Se 2.93
As  0.2781  0.2781  0.2781  3 Se 2.35, 1 As 2.56
As  0.3873  0.3873  0.3873  3 Se 2.35, 1 As 2.56
Se  0.1302  0.3650  0.7603  1 As 2.35
Se  0.1883  0.9616  0.5913  1 As 2.35
Se  0.3650  0.7603  0.1302  1 As 2.35
Se  0.5913  0.1883  0.9616  1 As 2.35
Se  0.7603  0.1302  0.3650  1 As 2.35
Se  0.9616  0.5913  0.1883  1 As 2.35

## Properties
- SG = No. 146
- crystal system = trigonal
- total moment (μB per formula unit) = 0.0
- volume (Å³/f.u.) = 334
- density (g/cm³) = 4.26
- formation energy from raw total energies (meV per atom) = -482

5.
VASP calculation (PBE) on crystalline La2Re at its relaxed geometry.

a b c (Å): 4.9772 4.9772 4.9772
angles (deg): 60.00 60.00 60.00
Closest atoms and distances in Å follow each position.
Sites, in units of the cell vectors:
La  0.2500  0.2500  0.2500  4 Re 3.05
La  0.7500  0.7500  0.7500  4 Re 3.05
Re  0.0000  0.0000  0.0000  8 La 3.05

## Properties
- SG = No. 225
- crystal system = cubic
- total moment (μB per formula unit) = 0.0
- ΔH_f (0 K) (eV/atom) = 0.253
- volume (Å³/f.u.) = 87
- density (g/cm³) = 8.84

6.
VASP calculation (PBE) on crystalline ScBeW at its relaxed geometry.

a b c (Å): 4.6579 4.6579 5.4394
angles (deg): 105.41 105.41 54.58
Closest atoms and distances in Å follow each position.
Sites, in units of the cell vectors:
Sc  0.0000  0.0000  0.0000  5 Be 2.60-2.70, 1 W 2.73, 2 Sc 2.77
Sc  0.6291  0.6291  0.7958  1 Be 2.48, 2 Sc 2.77
Be  0.3222  0.3222  0.0538  1 Be 2.01
Be  0.5510  0.5510  0.3185  1 Be 2.01
W  0.2338  0.2338  0.5482  3 Be 2.63-2.70, 3 W 2.64-2.89, 2 Sc 2.80
W  0.8684  0.8684  0.4035  5 Be 2.53-2.81, 2 W 2.64, 1 Sc 2.73

## Properties
- SG = No. 8
- crystal system = monoclinic
- total moment (μB per formula unit) = 0.0
- ΔH_f (0 K) (eV/atom) = 0.133
- volume (Å³/f.u.) = 46
- density (g/cm³) = 8.61

7.
VASP calculation (PBE) on crystalline HoHfSi2 at its relaxed geometry.

a b c (Å): 6.9889 6.9889 6.9889
angles (deg): 32.08 32.08 32.08
Closest atoms and distances in Å follow each position.
Sites, in units of the cell vectors:
Ho  0.0000  0.0000  0.0000  6 Si 2.86
Hf  0.5000  0.5000  0.5000  6 Si 2.70
Si  0.2430  0.2430  0.2430  3 Hf 2.70, 3 Ho 2.86
Si  0.7570  0.7570  0.7570  3 Hf 2.70, 3 Ho 2.86

## Properties
- SG = No. 166
- crystal system = trigonal
- total moment (μB per formula unit) = 0.0
- volume (Å³/f.u.) = 86
- density (g/cm³) = 7.76
- formation energy from raw total energies (meV per atom) = -540

8.
VASP calculation (PBE) on crystalline Na4AgAu at its relaxed geometry.

a b c (Å): 7.4930 7.4930 5.6518
angles (deg): 90.00 90.00 90.00
Closest atoms and distances in Å follow each position.
Sites, in units of the cell vectors:
Na  0.1655  0.3278  0.0000  2 Au 3.09, 2 Ag 3.15, 2 Na 3.31
Na  0.1655  0.6722  0.5000  2 Au 3.09, 2 Ag 3.15, 2 Na 3.31
Na  0.3278  0.1655  0.5000  2 Au 3.09, 2 Ag 3.15, 2 Na 3.31
Na  0.3278  0.8345  0.0000  2 Au 3.09, 2 Ag 3.15, 2 Na 3.31
Na  0.6722  0.1655  0.0000  2 Au 3.09, 2 Ag 3.15, 2 Na 3.31
Na  0.6722  0.8345  0.5000  2 Au 3.09, 2 Ag 3.15, 2 Na 3.31
Na  0.8345  0.3278  0.5000  2 Au 3.09, 2 Ag 3.15, 2 Na 3.31
Na  0.8345  0.6722  0.0000  2 Au 3.09, 2 Ag 3.15, 2 Na 3.31
Ag  0.5000  0.5000  0.2500  2 Ag 2.83, 8 Na 3.15
Ag  0.5000  0.5000  0.7500  2 Ag 2.83, 8 Na 3.15
Au  0.0000  0.0000  0.2500  2 Au 2.83, 8 Na 3.09
Au  0.0000  0.0000  0.7500  2 Au 2.83, 8 Na 3.09

## Properties
- SG = No. 124
- crystal system = tetragonal
- total moment (μB per formula unit) = 0.0
- ΔH_f (0 K) (eV/atom) = -0.163
- volume (Å³/f.u.) = 159
- density (g/cm³) = 4.15

9.
VASP calculation (PBE) on crystalline LuBOs2 at its relaxed geometry.

a b c (Å): 7.3304 7.3304 7.3304
angles (deg): 24.51 24.51 24.51
Closest atoms and distances in Å follow each position.
Sites, in units of the cell vectors:
Lu  0.0000  0.0000  0.0000  6 Os 2.92, 6 Lu 3.11
B  0.5000  0.5000  0.5000  6 Os 2.19
Os  0.2251  0.2251  0.2251  3 B 2.19
Os  0.7749  0.7749  0.7749  3 B 2.19

## Properties
- SG = No. 166
- crystal system = trigonal
- total moment (μB per formula unit) = 0.0
- ΔH_f (0 K) (eV/atom) = 0.076
- volume (Å³/f.u.) = 60
- density (g/cm³) = 15.77

10.
VASP calculation (PBE) on crystalline BaB2Ir at its relaxed geometry.

a b c (Å): 4.5129 4.5129 4.5129
angles (deg): 60.00 60.00 60.00
Closest atoms and distances in Å follow each position.
Sites, in units of the cell vectors:
Ba  0.0000  0.0000  0.0000  8 B 2.76
B  0.2500  0.2500  0.2500  4 Ir 2.76, 4 Ba 2.76
B  0.7500  0.7500  0.7500  4 Ir 2.76, 4 Ba 2.76
Ir  0.5000  0.5000  0.5000  8 B 2.76

## Properties
- SG = No. 225
- crystal system = cubic
- total moment (μB per formula unit) = 0.0
- ΔH_f (0 K) (eV/atom) = 1.351
- volume (Å³/f.u.) = 65
- density (g/cm³) = 8.97

11.
VASP calculation (PBE) on crystalline BaNb3Al at its relaxed geometry.

a b c (Å): 5.0193 5.0193 5.0193
angles (deg): 90.00 90.00 90.00
Closest atoms and distances in Å follow each position.
Sites, in units of the cell vectors:
Ba  0.0000  0.0000  0.0000  12 Nb 3.55
Nb  0.0000  0.5000  0.5000  2 Al 2.51
Nb  0.5000  0.0000  0.5000  2 Al 2.51
Nb  0.5000  0.5000  0.0000  2 Al 2.51
Al  0.5000  0.5000  0.5000  6 Nb 2.51

## Properties
- SG = No. 221
- crystal system = cubic
- total moment (μB per formula unit) = 1.8
- ΔH_f (0 K) (eV/atom) = 1.227
- volume (Å³/f.u.) = 126
- density (g/cm³) = 5.82

12.
VASP calculation (PBE) on crystalline Tl2FeAg at its relaxed geometry.

a b c (Å): 4.9990 4.9990 4.9990
angles (deg): 60.00 60.00 60.00
Closest atoms and distances in Å follow each position.
Sites, in units of the cell vectors:
Tl  0.0000  0.0000  0.0000  4 Fe 3.06, 4 Tl 3.06
Tl  0.2500  0.2500  0.2500  4 Tl 3.06, 4 Ag 3.06
Fe  0.7500  0.7500  0.7500  4 Tl 3.06, 4 Ag 3.06
Ag  0.5000  0.5000  0.5000  4 Fe 3.06, 4 Tl 3.06

## Properties
- SG = No. 216
- crystal system = cubic
- total moment (μB per formula unit) = 3.1
- ΔH_f (0 K) (eV/atom) = 0.631
- volume (Å³/f.u.) = 88
- density (g/cm³) = 10.76

What did the tenth record say?
VASP calculation (PBE) on crystalline BaB2Ir at its relaxed geometry.

a b c (Å): 4.5129 4.5129 4.5129
angles (deg): 60.00 60.00 60.00
Closest atoms and distances in Å follow each position.
Sites, in units of the cell vectors:
Ba  0.0000  0.0000  0.0000  8 B 2.76
B  0.2500  0.2500  0.2500  4 Ir 2.76, 4 Ba 2.76
B  0.7500  0.7500  0.7500  4 Ir 2.76, 4 Ba 2.76
Ir  0.5000  0.5000  0.5000  8 B 2.76

## Properties
- SG = No. 225
- crystal system = cubic
- total moment (μB per formula unit) = 0.0
- ΔH_f (0 K) (eV/atom) = 1.351
- volume (Å³/f.u.) = 65
- density (g/cm³) = 8.97

Q: Which formula does entry 4 have?
A: ThAs2Se6